IrPt2Rh5: relaxed, PBE.

abc: 3.870 3.870 8.251
angles: 103.56 103.56 90.00
Atoms (fractional coordinates):
Rh 0.879 0.379 0.759
Rh 0.121 0.621 0.241
Rh 0.621 0.121 0.241
Rh 0.500 0.500 0.000
Rh 0.379 0.879 0.759
Ir 0.000 0.000 0.000
Pt 0.251 0.251 0.502
Pt 0.749 0.749 0.498

Properties
space-group type: No. 139
raw total energy: -7.2433 eV/atom
E_form: -0.031 eV/atom
total magnetic moment: 0.00 μB/f.u.
N(E_F): 9.869 states/eV per cell
V: 116.60 Å³/f.u.

KRbBaY2: relaxed, PBE.

abc: 6.149 6.581 6.149
angles: 90.00 90.00 90.00
Atoms (fractional coordinates):
Rb 0.000 0.000 0.000
Y 0.500 0.000 0.000
Y 0.000 0.000 0.500
K 0.500 0.500 0.500
Ba 0.000 0.500 0.000

Properties
space-group type: No. 123
raw total energy: -2.2819 eV/atom
E_form: 1.101 eV/atom
total magnetic moment: 0.00 μB/f.u.
N(E_F): 9.460 states/eV per cell
V: 248.85 Å³/f.u.

ScTc2Os2: relaxed, PBE.

abc: 7.626 7.626 2.769
angles: 90.00 90.00 90.00
Atoms (fractional coordinates):
Os 0.171 0.671 0.500
Os 0.829 0.329 0.500
Os 0.329 0.171 0.500
Os 0.671 0.829 0.500
Tc 0.622 0.122 0.000
Tc 0.378 0.878 0.000
Tc 0.122 0.378 0.000
Tc 0.878 0.622 0.000
Sc 0.000 0.000 0.000
Sc 0.500 0.500 0.000

Properties
space-group type: No. 127
raw total energy: -9.9046 eV/atom
E_form: 0.000 eV/atom
total magnetic moment: 0.05 μB/f.u.
N(E_F): 12.128 states/eV per cell
V: 80.52 Å³/f.u.